Here is an optimized crystal structure of Na3UMn2Se6 from the Alexandria database. Energies are from PBE-GGA.

It has space group C2/m (No. 12), with a = 6.850 Å, b = 11.859 Å, c = 7.364 Å, α = 90.00°, β = 108.06° and γ = 90.00°. The asymmetric unit holds Na at (0.000, 0.000, 0.000), Na at (0.000, 0.334, 0.000), U at (0.000, 0.500, 0.500), Mn at (0.000, 0.167, 0.500), Se at (0.235, 0.000, 0.718) and Se at (0.242, 0.331, 0.719).

The calculation puts the raw total energy at -5.473 eV/atom. For the formation energy without anion corrections, the calculation gives -1079 kJ/mol of formula units. The total magnetization is 18.02 Bohr magnetons per cell.